AcTaPbO6 | GGA-PBE | relaxed

The structure in POSCAR format:
```
AcTaPbO6
1.0
5.578 0.000 0.000
-2.789 4.830 0.000
0.000 0.000 10.672
Ac Ta Pb O
2 2 2 12
Cartesian
0.000 0.000 0.000 Ac
0.000 0.000 5.336 Ac
2.789 1.610 2.668 Ta
0.000 3.220 8.004 Ta
0.000 3.220 2.668 Pb
2.789 1.610 8.004 Pb
1.862 2.983 1.516 O
4.441 1.726 1.516 O
-0.726 4.709 6.852 O
-1.652 3.104 9.156 O
1.137 1.726 3.820 O
3.715 2.983 3.820 O
0.726 4.709 9.156 O
3.514 0.121 3.820 O
-0.926 1.847 6.852 O
2.063 0.121 1.516 O
1.652 3.104 6.852 O
0.926 1.847 9.156 O
```

Summary:
- Formation energy from raw total energies: -2.39 eV/atom